Entry 1:
The following is a PBE-GGA calculation of crystalline BeReRu2 at its relaxed geometry, from the Alexandria database.

The calculation puts the energy of formation at -0.02 eV per atom. As for the mass density: 12.9 g cm⁻³. The value obtained for the total magnetization is 0.0 Bohr magnetons per cell. Its total energy is -8.700 eV/atom. The calculation puts the energy above the lowest structure with this stoichiometry at 0.575 eV per formula unit.

It has space group Imm2 (No. 44), with a = 2.8679 Å, b = 4.2799 Å, c = 8.3625 Å, α = 90.00°, β = 90.00° and γ = 90.00°. The asymmetric unit holds Be at (0.0000, 0.0000, 0.0000), Re at (0.0000, 0.5000, 0.2671), Ru at (0.0000, 0.0000, 0.4961) and Ru at (0.0000, 0.5000, 0.7194).

Entry 2:
The following is a PBE-GGA calculation of crystalline BeReRu2 at its relaxed geometry, from the Alexandria database.

The calculation puts the energy of formation at 0.01 eV per atom. As for the mass density: 12.4 g cm⁻³. The value obtained for the total magnetization is 0.0 Bohr magnetons per cell. Its total energy is -8.672 eV/atom. The calculation puts the energy above the lowest structure with this stoichiometry at 0.688 eV per formula unit.

It has space group Pmm2 (No. 25), with a = 2.7252 Å, b = 3.8225 Å, c = 5.0963 Å, α = 90.00°, β = 90.00° and γ = 90.00°. The asymmetric unit holds Be at (0.0000, 0.0000, 0.0000), Re at (0.5000, 0.5000, 0.2589), Ru at (0.0000, 0.0000, 0.4983) and Ru at (0.5000, 0.5000, 0.7976).